(1)
# Th4SiTeAs2

A relaxed Th4SiTeAs2 crystal (PBE-GGA, Alexandria via LeMat-Bulk).

Results
- Total DFT energy (no corrections): -56.70 eV for the cell shown
- Space group: P2/m (10)

abc: 7.4577 4.2942 7.5195
angles: 90.00 109.20 90.00
Closest atoms and distances in Å follow each position.
Atoms (fractional coordinates):
Th1 0.2342 0.0000 0.2267  3 As 2.93-3.10, 1 Si 3.01, 2 Te 3.18
Th2 0.2469 0.5000 0.7652  3 As 2.94-3.09, 2 Si 3.02, 1 Te 3.17
Th3 0.7531 0.5000 0.2348  3 As 2.94-3.09, 2 Si 3.02, 1 Te 3.17
Th4 0.7658 0.0000 0.7733  3 As 2.93-3.10, 1 Si 3.01, 2 Te 3.18
Si1 0.5000 0.0000 0.0000  6 Th 3.01-3.02
Te1 0.5000 0.5000 0.5000  6 Th 3.17-3.18
As1 0.0000 0.0000 0.5000  6 Th 3.09-3.10
As2 0.0000 0.5000 0.0000  6 Th 2.93-2.94

---

(2)
# MnP2Ru

A relaxed MnP2Ru crystal (PBE-GGA, Alexandria via LeMat-Bulk).

Results
- Total DFT energy (no corrections): -30.24 eV for the cell shown
- Energy relative to the elements: -0.98 eV per formula unit
- Energy relative to the lowest polymorph listed for this composition: 3.84 kcal/mol of atoms
- Space group: C2/m (12)

abc: 3.8814 3.8814 4.8934
angles: 101.76 101.76 42.83
Closest atoms and distances in Å follow each position.
Atoms (fractional coordinates):
Mn1 0.0000 0.0000 0.0000  6 P 2.33-2.35
P1 0.2534 0.2534 0.7765  3 Mn 2.33-2.35, 3 Ru 2.46-2.47
P2 0.7466 0.7466 0.2235  3 Mn 2.33-2.35, 3 Ru 2.46-2.47
Ru1 0.5000 0.5000 0.5000  6 P 2.46-2.47

---

(3)
# Sc4B2Cl5

A relaxed Sc4B2Cl5 crystal (PBE-GGA, Alexandria via LeMat-Bulk).

Results
- Total DFT energy (no corrections): -63.12 eV for the cell shown
- Space group: Immm (71)

abc: 11.1116 11.1116 11.1116
angles: 161.78 142.06 42.39
Closest atoms and distances in Å follow each position.
Atoms (fractional coordinates):
Sc1 0.1425 0.1425 0.0000  1 B 2.17
Sc2 0.2055 0.5000 0.7055  4 B 2.43
Sc3 0.7945 0.5000 0.2945  4 B 2.43
Sc4 0.8575 0.8575 0.0000  1 B 2.17
B1 0.0379 0.0379 0.0000  1 B 1.57
B2 0.9621 0.9621 0.0000  1 B 1.57
Cl1 0.0826 0.3381 0.7445  2 Sc 2.53
Cl2 0.4064 0.6619 0.7445  2 Sc 2.53
Cl3 0.5000 0.0000 0.5000  4 Sc 2.76
Cl4 0.5936 0.3381 0.2555  2 Sc 2.53
Cl5 0.9174 0.6619 0.2555  2 Sc 2.53

---

(4)
# ZrScZnPt

A relaxed ZrScZnPt crystal (PBE-GGA, Alexandria via LeMat-Bulk).

Results
- Total DFT energy (no corrections): -25.06 eV for the cell shown
- Energy relative to the elements: -2.86 eV per formula unit
- Energy relative to the lowest polymorph listed for this composition: 0.00 kcal/mol of atoms
- Space group: Pmmm (47)

abc: 3.4358 4.6157 4.6723
angles: 90.00 90.00 90.00
Closest atoms and distances in Å follow each position.
Atoms (fractional coordinates):
Zr1 0.0000 0.0000 0.0000  4 Pt 2.88, 4 Zn 2.90
Sc1 0.0000 0.5000 0.5000  4 Zn 2.88, 4 Pt 2.90
Zn1 0.5000 0.0000 0.5000  4 Sc 2.88, 4 Zr 2.90
Pt1 0.5000 0.5000 0.0000  4 Zr 2.88, 4 Sc 2.90

---

(5)
# BaScSn2

A relaxed BaScSn2 crystal (PBE-GGA, Alexandria via LeMat-Bulk).

Results
- Total DFT energy (no corrections): -34.51 eV for the cell shown
- Energy relative to the elements: -1.00 eV per formula unit
- Energy relative to the lowest polymorph listed for this composition: 7.09 kcal/mol of atoms
- Space group: I-42d (122)

abc: 10.3590 10.3590 10.3590
angles: 147.51 147.51 46.62
Closest atoms and distances in Å follow each position.
Atoms (fractional coordinates):
Ba1 0.0000 0.0000 0.0000  4 Sn 3.59
Ba2 0.7500 0.2500 0.5000  4 Sn 3.59
Sc1 0.2500 0.7500 0.5000  4 Sn 2.86
Sc2 0.5000 0.5000 0.0000  4 Sn 2.86
Sn1 0.2655 0.6250 0.1405  2 Sc 2.86, 2 Sn 3.16
Sn2 0.3750 0.5155 0.6405  2 Sc 2.86, 2 Sn 3.16
Sn3 0.4845 0.1250 0.8595  2 Sc 2.86, 2 Sn 3.16
Sn4 0.8750 0.7345 0.3595  2 Sc 2.86, 2 Sn 3.16

---

(6)
# Cs4UGa3Br12

A relaxed Cs4UGa3Br12 crystal (PBE-GGA, Alexandria via LeMat-Bulk).

Results
- Total DFT energy (no corrections): -69.06 eV for the cell shown
- Space group: Im-3m (229)

abc: 10.0007 10.0007 10.0007
angles: 109.47 109.47 109.47
Closest atoms and distances in Å follow each position.
Atoms (fractional coordinates):
Cs1 0.0000 0.0000 0.5000  12 Br 4.08
Cs2 0.0000 0.5000 0.0000  12 Br 4.08
Cs3 0.5000 0.0000 0.0000  12 Br 4.08
Cs4 0.5000 0.5000 0.5000  12 Br 4.08
U1 0.0000 0.0000 0.0000  6 Br 2.77
Ga1 0.0000 0.5000 0.5000  6 Br 2.89-3.00
Ga2 0.5000 0.0000 0.5000  6 Br 2.89-3.00
Ga3 0.5000 0.5000 0.0000  6 Br 2.89-3.00
Br1 0.0000 0.2402 0.2402  1 U 2.77, 1 Ga 3.00
Br2 0.0000 0.7598 0.7598  1 U 2.77, 1 Ga 3.00
Br3 0.2402 0.0000 0.2402  1 U 2.77, 1 Ga 3.00
Br4 0.2402 0.2402 0.0000  1 U 2.77, 1 Ga 3.00
Br5 0.2500 0.5000 0.7500  2 Ga 2.89
Br6 0.2500 0.7500 0.5000  2 Ga 2.89
Br7 0.5000 0.2500 0.7500  2 Ga 2.89
Br8 0.5000 0.7500 0.2500  2 Ga 2.89
Br9 0.7500 0.2500 0.5000  2 Ga 2.89
Br10 0.7500 0.5000 0.2500  2 Ga 2.89
Br11 0.7598 0.0000 0.7598  1 U 2.77, 1 Ga 3.00
Br12 0.7598 0.7598 0.0000  1 U 2.77, 1 Ga 3.00

---

(7)
# Sm4ReN5

A relaxed Sm4ReN5 crystal (PBE-GGA, Alexandria via LeMat-Bulk).

Results
- Total DFT energy (no corrections): -83.06 eV for the cell shown
- Space group: I4 (79)

abc: 5.9773 5.9773 5.9773
angles: 100.47 100.47 129.54
Closest atoms and distances in Å follow each position.
Atoms (fractional coordinates):
Sm1 0.1030 0.6980 0.8010  6 N 2.40-2.61
Sm2 0.3020 0.1030 0.4049  6 N 2.40-2.61
Sm3 0.6980 0.8970 0.5951  6 N 2.40-2.61
Sm4 0.8970 0.3020 0.1990  6 N 2.40-2.61
Re1 0.4497 0.4497 0.0000  1 N 1.90
N1 0.0771 0.0771 0.0000  1 Re 1.90
N2 0.2144 0.3988 0.6276  1 Re 2.26, 3 Sm 2.40-2.52
N3 0.3988 0.7712 0.1844  1 Re 2.26, 3 Sm 2.40-2.52
N4 0.5868 0.2144 0.8156  1 Re 2.26, 3 Sm 2.40-2.52
N5 0.7712 0.5868 0.3724  1 Re 2.26, 3 Sm 2.40-2.52

---

(8)
# BaSiSnS4

A relaxed BaSiSnS4 crystal (PBE-GGA, Alexandria via LeMat-Bulk).

Results
- Total DFT energy (no corrections): -70.79 eV for the cell shown
- Space group: P2_1/m (11)

abc: 7.0056 6.7152 8.5551
angles: 90.00 109.43 90.00
Closest atoms and distances in Å follow each position.
Atoms (fractional coordinates):
Ba1 0.2234 0.2500 0.4451  8 S 3.20-3.49
Ba2 0.7766 0.7500 0.5549  8 S 3.20-3.49
Si1 0.2664 0.7500 0.1953  4 S 2.13-2.15
Si2 0.7336 0.2500 0.8047  4 S 2.13-2.15
Sn1 0.2596 0.2500 0.9803  3 S 2.69-2.79
Sn2 0.7404 0.7500 0.0197  3 S 2.69-2.79
S1 0.0808 0.7500 0.9388  1 Si 2.15
S2 0.0928 0.7500 0.3585  1 Si 2.13
S3 0.4616 0.0024 0.2463  1 Si 2.13
S4 0.4616 0.4976 0.2463  1 Si 2.13
S5 0.5384 0.5024 0.7537  1 Si 2.13
S6 0.5384 0.9976 0.7537  1 Si 2.13
S7 0.9072 0.2500 0.6415  1 Si 2.13
S8 0.9192 0.2500 0.0612  1 Si 2.15

---

(9)
# NaYTcAu2

A relaxed NaYTcAu2 crystal (PBE-GGA, Alexandria via LeMat-Bulk).

Results
- Total DFT energy (no corrections): -23.06 eV for the cell shown
- Energy relative to the elements: 1.65 eV per formula unit
- Space group: P4/mmm (123)

abc: 5.2394 5.2394 4.9265
angles: 90.00 90.00 90.00
Closest atoms and distances in Å follow each position.
Atoms (fractional coordinates):
Na1 0.0000 0.0000 0.0000  8 Au 3.60, 4 Y 3.70
Y1 0.5000 0.5000 0.0000  2 Tc 2.46
Tc1 0.5000 0.5000 0.5000  2 Y 2.46, 4 Au 2.62
Au1 0.0000 0.5000 0.5000  2 Tc 2.62
Au2 0.5000 0.0000 0.5000  2 Tc 2.62

---

(10)
# ScBeGa3

A relaxed ScBeGa3 crystal (PBE-GGA, Alexandria via LeMat-Bulk).

Results
- Total DFT energy (no corrections): -18.79 eV for the cell shown
- Energy relative to the elements: 0.35 eV per formula unit
- Energy relative to the lowest polymorph listed for this composition: 0.00 kcal/mol of atoms
- Space group: Pm-3m (221)

abc: 4.4553 4.4553 4.4553
angles: 90.00 90.00 90.00
Closest atoms and distances in Å follow each position.
Atoms (fractional coordinates):
Sc1 0.0000 0.0000 0.0000  12 Ga 3.15
Be1 0.5000 0.5000 0.5000  6 Ga 2.23
Ga1 0.0000 0.5000 0.5000  2 Be 2.23
Ga2 0.5000 0.0000 0.5000  2 Be 2.23
Ga3 0.5000 0.5000 0.0000  2 Be 2.23